Entry from Alexandria: a relaxed NiHgSb3 crystal (PBE-GGA).

Output
The total moment is 0.00 Bohr magnetons per cell. The value obtained for the polymorph energy (0 for the lowest one) is 0.000 eV/atom. As for the symmetry: Pm-3m (221). For the calculated volume, the calculation gives 25.86 Å³/atom. As for the uncorrected formation energy: 297.3 meV/atom.

a b c (Å): 5.057 5.057 5.057
angles (deg): 90.00 90.00 90.00
Sites, in units of the cell vectors:
Sb 0.000 0.500 0.000
Sb 0.000 0.000 0.500
Sb 0.500 0.000 0.000
Hg 0.500 0.500 0.500
Ni 0.000 0.000 0.000